Here is a relaxed structure of Na6RhCl12 from Alexandria. Energies are from PBE-GGA.

```
19
Lattice="5.894 3.403 4.057 -5.894 3.403 4.057 0.000 -6.806 4.057" Properties=species:S:1:pos:R:3 pbc="T T T"
Na -2.850 0.717 4.356
Na 0.804 -2.827 4.356
Na -2.046 -2.109 7.817
Na 2.046 2.109 4.356
Na -0.804 2.827 7.817
Na 2.850 -0.717 7.817
Rh 0.000 0.000 0.000
Cl -4.053 -4.029 6.787
Cl -5.516 1.496 5.385
Cl -1.761 -1.812 4.918
Cl 1.463 -5.525 5.385
Cl -2.450 0.619 7.254
Cl -0.689 2.431 4.918
Cl 0.689 -2.431 7.254
Cl 2.450 -0.619 4.918
Cl -1.463 5.525 6.787
Cl 1.761 1.812 7.254
Cl 5.516 -1.496 6.787
Cl 4.053 4.029 5.385
```

Results
Its uncorrected formation energy is -1.15 eV/atom. Its density of states at the Fermi level is 14.435 states/eV/f.u. The space group is R-3, No. 148.


Here is a relaxed structure of Ac4InPI2 from Alexandria. Energies are from PBE-GGA.

```
8
Lattice="8.177 0.000 0.000 0.000 4.470 0.000 -2.554 0.000 8.300" Properties=species:S:1:pos:R:3 pbc="T T T"
Ac 1.260 0.000 1.652
Ac -0.072 2.235 6.533
Ac 5.696 2.235 1.767
Ac 4.363 0.000 6.648
In 4.088 0.000 0.000
P 0.000 2.235 0.000
I -1.277 0.000 4.150
I 2.812 2.235 4.150
```

Results
Its uncorrected formation energy is -0.97 eV/atom. Its density of states at the Fermi level is 5.328 states/eV/f.u. The space group is P2/m, No. 10.


Here is a relaxed structure of Cs2KCl4 from Alexandria. Energies are from PBE-GGA.

```
7
Lattice="-2.960 2.960 8.779 2.960 -2.960 8.779 2.960 2.960 -8.779" Properties=species:S:1:pos:R:3 pbc="T T T"
Cs 0.000 0.000 2.258
Cs 0.000 0.000 15.300
K 0.000 0.000 8.779
Cl 2.960 0.000 0.000
Cl 0.000 0.000 5.676
Cl 0.000 2.960 0.000
Cl 0.000 0.000 11.882
```

Results
Its uncorrected formation energy is -1.51 eV/atom. Its density of states at the Fermi level is 16.610 states/eV/f.u. The space group is I4/mmm, No. 139.


Here is a relaxed structure of FeHgRu2 from Alexandria. Energies are from PBE-GGA.

```
4
Lattice="-1.966 1.966 3.904 1.966 -1.966 3.904 1.966 1.966 -3.904" Properties=species:S:1:pos:R:3 pbc="T T T"
Fe 0.000 0.000 0.000
Hg 0.000 0.000 3.904
Ru 1.966 0.000 1.952
Ru 0.000 1.966 1.952
```

Results
The formation enthalpy at 0 K comes out at 0.53 eV/atom. Its density of states at the Fermi level is 5.180 states/eV/f.u. The space group is I4/mmm, No. 139.


Here is a relaxed structure of Ce7ZrO16 from Alexandria. Energies are from PBE-GGA.

```
24
Lattice="7.673 0.000 0.000 0.000 7.673 0.000 0.000 0.000 5.421" Properties=species:S:1:pos:R:3 pbc="T T T"
Ce 0.000 0.000 0.000
Ce 0.000 3.836 0.000
Ce 1.941 1.941 2.711
Ce 1.941 5.732 2.711
Ce 3.836 0.000 0.000
Ce 5.732 1.941 2.711
Ce 5.732 5.732 2.711
Zr 3.836 3.836 0.000
O 0.000 1.935 1.359
O 0.000 1.935 4.063
O 0.000 5.737 1.359
O 0.000 5.737 4.063
O 1.935 0.000 1.359
O 1.935 0.000 4.063
O 1.982 3.836 1.318
O 1.982 3.836 4.104
O 3.836 1.982 1.318
O 3.836 1.982 4.104
O 3.836 5.690 1.318
O 3.836 5.690 4.104
O 5.690 3.836 1.318
O 5.690 3.836 4.104
O 5.737 0.000 1.359
O 5.737 0.000 4.063
```

Results
Its uncorrected formation energy is -3.43 eV/atom. Its density of states at the Fermi level is 0.000 states/eV/f.u. The space group is P4/mmm, No. 123.


Here is a relaxed structure of NbAg2BPt from Alexandria. Energies are from PBE-GGA.

```
5
Lattice="5.046 0.000 0.000 0.000 5.046 0.000 0.000 0.000 4.802" Properties=species:S:1:pos:R:3 pbc="T T T"
Nb 0.000 0.000 0.000
Ag 0.000 2.523 2.401
Ag 2.523 0.000 2.401
B 2.523 2.523 0.000
Pt 0.000 0.000 2.401
```

Results
The formation enthalpy at 0 K comes out at 1.72 eV/atom. Its density of states at the Fermi level is 3.181 states/eV/f.u. The space group is P4/mmm, No. 123.


Here is a relaxed structure of Ho4CoOs from Alexandria. Energies are from PBE-GGA.

```
12
Lattice="6.116 0.000 0.000 0.000 6.402 0.000 -2.342 0.000 7.266" Properties=species:S:1:pos:R:3 pbc="T T T"
Ho -0.611 6.400 1.913
Ho -0.611 3.203 1.913
Ho 2.379 1.600 0.742
Ho 1.327 1.600 4.481
Ho 2.447 4.801 2.785
Ho 1.396 4.801 6.524
Ho 4.385 0.002 5.352
Ho 4.385 3.199 5.352
Co 0.187 4.801 4.116
Co 3.587 1.600 3.150
Os 1.175 4.801 0.357
Os 2.599 1.600 6.908
```

Results
The formation enthalpy at 0 K comes out at -0.17 eV/atom. The offset from the most stable computed form comes out at 0.066 eV per atom. Its density of states at the Fermi level is 4.058 states/eV/f.u. The space group is P2_1/m, No. 11.


Here is a relaxed structure of MoAsBr2 from Alexandria. Energies are from PBE-GGA.

```
4
Lattice="-1.545 2.522 6.721 1.545 -2.522 6.721 1.545 2.522 -6.721" Properties=species:S:1:pos:R:3 pbc="T T T"
Mo 0.000 0.000 0.000
As 1.545 0.000 2.045
Br 0.000 0.000 6.980
Br 0.000 2.522 4.636
```

Results
Its uncorrected formation energy is 0.24 eV/atom. The offset from the most stable computed form comes out at 0.410 eV per atom. Its density of states at the Fermi level is 3.054 states/eV/f.u. The space group is Imm2, No. 44.


Here is a relaxed structure of TlCdHgPb from Alexandria. Energies are from PBE-GGA.

```
4
Lattice="3.537 0.000 0.000 0.000 3.537 0.000 0.000 0.000 8.880" Properties=species:S:1:pos:R:3 pbc="T T T"
Tl 0.000 0.000 0.000
Cd 0.000 0.000 4.093
Hg 1.768 1.768 2.247
Pb 1.768 1.768 6.265
```

Results
The formation enthalpy at 0 K comes out at 0.03 eV/atom. The offset from the most stable computed form comes out at 0.000 eV per atom. Its density of states at the Fermi level is 2.214 states/eV/f.u. The space group is P4mm, No. 99.


Here is a relaxed structure of Cs2SrAsSe4 from Alexandria. Energies are from PBE-GGA.

```
16
Lattice="0.000 7.534 13.443 3.468 0.000 13.443 3.468 7.534 0.000" Properties=species:S:1:pos:R:3 pbc="T T T"
Cs 2.601 5.650 1.582
Cs 4.335 9.417 8.304
Cs 2.601 5.650 18.582
Cs 4.335 9.417 25.304
Sr 0.867 1.883 3.361
Sr 6.069 13.184 23.525
As 2.601 5.650 10.082
As 4.335 9.417 16.804
Se 3.989 4.102 8.689
Se 3.989 7.199 11.475
Se 5.723 7.869 18.197
Se 5.723 10.966 15.411
Se 1.213 4.102 11.475
Se 1.213 7.199 8.689
Se 2.946 7.869 15.411
Se 2.946 10.966 18.197
```

Results
Its uncorrected formation energy is -0.89 eV/atom. Its density of states at the Fermi level is 5.498 states/eV/f.u. The space group is Fddd, No. 70.